The following is a DFT calculation (PBE) of a relaxed Dy4InPbN crystal.

POSCAR file:
```
Dy4InPbN
1.0
3.3436 -8.0630 0.0000
3.3436 8.0630 0.0000
0.0000 0.0000 6.6867
Dy In Pb N
8 2 2 2
Direct
0.0000 0.5000 0.0000 Dy
0.0000 0.5000 0.5000 Dy
0.0886 0.9114 0.7500 Dy
0.4079 0.5921 0.7500 Dy
0.5000 0.0000 0.0000 Dy
0.5000 0.0000 0.5000 Dy
0.5921 0.4079 0.2500 Dy
0.9114 0.0886 0.2500 Dy
0.1105 0.8895 0.2500 In
0.8895 0.1105 0.7500 In
0.3936 0.6064 0.2500 Pb
0.6064 0.3936 0.7500 Pb
0.2515 0.7485 0.7500 N
0.7485 0.2515 0.2500 N
```

Results
Density of states at the Fermi level (states/eV/atom): 0.206
Total moment (μB per cell): 0.00
Uncorrected formation energy (eV per atom): -0.81